1.
5
Lattice="-3.659 0.851 5.110 -2.847 -0.685 -1.925 0.531 -6.161 1.406" Properties=species:S:1:pos:R:3 comment="CoHg2IO (PBE with a Hubbard U, relaxed)" dft_energy_ev_per_atom=-2.43 total_magnetization_mub_per_atom=0.610 pbc="T T T"
Co -1.424 -0.342 -0.962
I -2.988 -2.998 2.296
Hg -1.829 0.426 2.555
Hg 0.266 -3.081 0.703
O 0.000 0.000 0.000



2.
5
Lattice="6.006 0.000 0.000 0.000 6.006 0.000 0.000 0.000 3.570" Properties=species:S:1:pos:R:3 comment="CoHgI2O (PBE with a Hubbard U, relaxed)" dft_energy_ev_per_atom=-2.82 total_magnetization_mub_per_atom=0.720 pbc="T T T"
O 0.000 0.000 1.785
Co 0.000 0.000 0.000
Hg 3.003 3.003 1.785
I 3.003 0.000 0.000
I 0.000 3.003 0.000



3.
5
Lattice="5.983 0.000 0.000 0.000 5.983 0.000 0.000 0.000 4.067" Properties=species:S:1:pos:R:3 comment="CoHgI2O (PBE with a Hubbard U, relaxed)" dft_energy_ev_per_atom=-2.07 total_magnetization_mub_per_atom=0.560 pbc="T T T"
I 0.000 2.992 0.000
I 2.992 0.000 0.000
O 0.000 0.000 2.033
Co 2.992 2.992 2.033
Hg 0.000 0.000 0.000